# Pr3Ga2Ni4 | the Alexandria database | GGA-PBE | relaxed
# VASP energy: -95.60 eV for the cell shown
# magnetization: 0.0 μB per formula unit
# formation energy: -413 kJ/mol of formula units
# V: 19.5 Å³ per atom
data_Pr3Ga2Ni4
_chemical_formula_sum 'Pr6 Ga4 Ni8'
_symmetry_space_group_name_H-M 'C 1 2/m 1'
_symmetry_Int_Tables_number 12
_symmetry_space_group_name_Hall '-C 2y'
_cell_length_a 10.263
_cell_length_b 4.176
_cell_length_c 8.296
_cell_angle_alpha 90.00
_cell_angle_beta 99.10
_cell_angle_gamma 90.00
loop_
_atom_site_label
_atom_site_type_symbol
_atom_site_fract_x
_atom_site_fract_y
_atom_site_fract_z
Pr1 Pr 0.000 0.000 0.000
Pr2 Pr 0.124 0.500 0.379
Ga1 Ga 0.177 0.500 0.785
Ni1 Ni 0.083 0.000 0.636
Ni2 Ni 0.240 0.500 0.085

=====

# Pr2GaNi | the Alexandria database | GGA-PBE | relaxed
# VASP energy: -19.76 eV for the cell shown
# magnetization: 0.0 μB per formula unit
# formation energy: -134 kJ/mol of formula units
# V: 23.9 Å³ per atom
data_Pr2GaNi
_chemical_formula_sum 'Pr2 Ga1 Ni1'
_symmetry_space_group_name_H-M 'P 4/m m m'
_symmetry_Int_Tables_number 123
_symmetry_space_group_name_Hall '-P 4 2'
_cell_length_a 3.587
_cell_length_b 3.587
_cell_length_c 7.439
_cell_angle_alpha 90.00
_cell_angle_beta 90.00
_cell_angle_gamma 90.00
loop_
_atom_site_label
_atom_site_type_symbol
_atom_site_fract_x
_atom_site_fract_y
_atom_site_fract_z
Pr1 Pr 0.000 0.000 0.231
Ga1 Ga 0.500 0.500 0.500
Ni1 Ni 0.500 0.500 0.000

=====

# Pr2GaNi4 | the Alexandria database | GGA-PBE | relaxed
# VASP energy: -149.01 eV for the cell shown
# magnetization: 0.0 μB per formula unit
# formation energy: -149 kJ/mol of formula units
# V: 19.5 Å³ per atom
data_Pr2GaNi4
_chemical_formula_sum 'Pr8 Ga4 Ni16'
_symmetry_space_group_name_H-M 'F m m m'
_symmetry_Int_Tables_number 69
_symmetry_space_group_name_Hall '-F 2 2'
_cell_length_a 7.626
_cell_length_b 8.369
_cell_length_c 8.536
_cell_angle_alpha 90.00
_cell_angle_beta 90.00
_cell_angle_gamma 90.00
loop_
_atom_site_label
_atom_site_type_symbol
_atom_site_fract_x
_atom_site_fract_y
_atom_site_fract_z
Pr1 Pr 0.250 0.250 0.250
Ga1 Ga 0.000 0.000 0.000
Ni1 Ni 0.000 0.000 0.273
Ni2 Ni 0.176 0.000 0.500

=====

# PrGa4Ni2 | the Alexandria database | GGA-PBE | relaxed
# VASP energy: -128.78 eV for the cell shown
# magnetization: 0.0 μB per formula unit
# formation energy: -361 kJ/mol of formula units
# V: 17.0 Å³ per atom
# polymorph energy (0 for the lowest one): 0 meV per atom
data_PrGa4Ni2
_chemical_formula_sum 'Pr4 Ga16 Ni8'
_symmetry_space_group_name_H-M 'P n m a'
_symmetry_Int_Tables_number 62
_symmetry_space_group_name_Hall '-P 2ac 2n'
_cell_length_a 17.004
_cell_length_b 4.108
_cell_length_c 6.827
_cell_angle_alpha 90.00
_cell_angle_beta 90.00
_cell_angle_gamma 90.00
loop_
_atom_site_label
_atom_site_type_symbol
_atom_site_fract_x
_atom_site_fract_y
_atom_site_fract_z
Pr1 Pr 0.121 0.250 0.017
Ga1 Ga 0.036 0.750 0.738
Ga2 Ga 0.095 0.250 0.507
Ga3 Ga 0.186 0.750 0.343
Ga4 Ga 0.203 0.750 0.734
Ni1 Ni 0.036 0.750 0.343
Ni2 Ni 0.233 0.250 0.548

=====

Q: Among the records above, which one has the highest V?
A: Pr2GaNi

=====

Q: Which formula does entry 3 have?
A: Pr2GaNi4